(1)
Compound: KAlTl
Source: Alexandria
Functional: GGA-PBE
Structure: optimized geometry

Computed properties:
Size of the total moment in μB per formula unit: 0.00
E above lowest polymorph in kJ per mole of atoms: 2.9

abc: 8.6710 8.6904 9.9700
angles: 90.00 150.69 90.00
Last column: nearest neighbours and their distance in Å.
Sites, in units of the cell vectors:
Al  0.0031  0.9275  0.4180  2 Al 2.75, 2 Tl 2.95-3.03
Tl  0.3405  0.3808  0.9184  2 Al 2.95-3.03, 2 Tl 3.20
Tl  0.8405  0.1192  0.9184  2 Al 2.95-3.03, 2 Tl 3.20
Al  0.0031  0.4275  0.9180  2 Al 2.75, 2 Tl 2.95-3.03
K  0.1588  0.3329  0.4179  5 Tl 3.44-3.72, 4 Al 3.59-3.77, 2 K 3.79
Al  0.5031  0.0725  0.9180  2 Al 2.75, 2 Tl 2.95-3.03
Tl  0.3405  0.8808  0.4184  2 Al 2.95-3.03, 2 Tl 3.20
Al  0.5031  0.5725  0.4180  2 Al 2.75, 2 Tl 2.95-3.03
Tl  0.8405  0.6192  0.4184  2 Al 2.95-3.03, 2 Tl 3.20
K  0.6588  0.1671  0.4179  5 Tl 3.44-3.72, 4 Al 3.59-3.77, 2 K 3.79
K  0.1588  0.8329  0.9179  5 Tl 3.44-3.72, 4 Al 3.59-3.77, 2 K 3.79
K  0.6588  0.6671  0.9179  5 Tl 3.44-3.72, 4 Al 3.59-3.77, 2 K 3.79

(2)
Compound: ScSiP2
Source: Alexandria
Functional: GGA-PBE
Structure: optimized geometry

Computed properties:
Formation energy (no corrections) in eV per atom: -0.138
Size of the total moment in μB per formula unit: 0.00

abc: 4.7264 4.7264 4.7264
angles: 127.47 127.47 77.49
Last column: nearest neighbours and their distance in Å.
Sites, in units of the cell vectors:
P  0.5000  0.5000  0.0000  4 Sc 2.79, 4 Si 2.79, 4 P 2.96
Sc  0.2500  0.7500  0.5000  8 P 2.79, 4 Si 2.96
P  0.0000  0.0000  0.0000  4 Si 2.79, 4 Sc 2.79, 4 P 2.96
Si  0.7500  0.2500  0.5000  8 P 2.79, 4 Sc 2.96

(3)
Compound: Ba2Ag2Pb
Source: Alexandria
Functional: GGA-PBE
Structure: optimized geometry

Computed properties:
Size of the total moment in μB per formula unit: 0.00
E above lowest polymorph in kJ per mole of atoms: 1.2

abc: 4.9760 6.7304 11.9679
angles: 83.48 78.00 68.30
Last column: nearest neighbours and their distance in Å.
Sites, in units of the cell vectors:
Ag  0.9586  0.6671  0.4156  1 Ag 2.82, 2 Pb 2.90
Ba  0.6938  0.2477  0.3647  7 Ag 3.63-4.04, 4 Pb 3.65-3.71
Ba  0.0941  0.7040  0.1078  6 Ag 3.58-3.68, 2 Pb 3.63
Ba  0.3062  0.7523  0.6353  7 Ag 3.63-4.04, 4 Pb 3.65-3.71
Pb  0.5766  0.1666  0.6802  3 Ag 2.90-3.01
Ag  0.6102  0.8847  0.8948  1 Ag 2.90, 1 Pb 3.01
Ag  0.3898  0.1153  0.1052  1 Ag 2.90, 1 Pb 3.01
Ba  0.9059  0.2960  0.8922  6 Ag 3.58-3.68, 2 Pb 3.63
Ag  0.0414  0.3329  0.5844  1 Ag 2.82, 2 Pb 2.90
Pb  0.4234  0.8334  0.3198  3 Ag 2.90-3.01

(4)
Compound: K4AlZn
Source: Alexandria
Functional: GGA-PBE
Structure: optimized geometry

Computed properties:
Total DFT energy (no corrections) in eV/atom: -1.03
Size of the total moment in μB per formula unit: 1.20

abc: 7.4420 7.4420 7.4420
angles: 60.00 60.00 60.00
Last column: nearest neighbours and their distance in Å.
Sites, in units of the cell vectors:
K  0.3744  0.3744  0.3744  6 K 3.70-3.74
Al  0.0000  0.0000  0.0000  12 K 4.36, 4 Zn 4.56
K  0.3744  0.8768  0.3744  6 K 3.70-3.74
K  0.8768  0.3744  0.3744  6 K 3.70-3.74
Zn  0.7500  0.7500  0.7500  12 K 4.37, 4 Al 4.56
K  0.3744  0.3744  0.8768  6 K 3.70-3.74

(5)
Compound: AlTc2Se
Source: Alexandria
Functional: GGA-PBE
Structure: optimized geometry

Computed properties:
Formation energy (no corrections) in eV per atom: -0.054
Size of the total moment in μB per formula unit: 0.00
E above lowest polymorph in kJ per mole of atoms: 2.8

abc: 4.7492 4.7492 4.5677
angles: 72.84 72.84 37.48
Last column: nearest neighbours and their distance in Å.
Sites, in units of the cell vectors:
Tc  0.0011  0.0011  0.0510  3 Se 2.60-2.64, 4 Al 2.74-2.76, 2 Tc 2.81
Al  0.4935  0.4935  0.5535  7 Tc 2.53-2.76, 2 Se 2.82
Tc  0.7500  0.7500  0.6738  3 Al 2.53-2.58, 2 Se 2.56, 2 Tc 2.81
Se  0.2554  0.2554  0.2217  5 Tc 2.56-2.64, 2 Al 2.82

(6)
Compound: CrNiPd
Source: Alexandria
Functional: GGA-PBE
Structure: optimized geometry

Computed properties:
Size of the total moment in μB per formula unit: 3.47
E above lowest polymorph in kJ per mole of atoms: 26.0

abc: 2.6664 6.2870 5.0518
angles: 90.00 90.00 90.00
Last column: nearest neighbours and their distance in Å.
Sites, in units of the cell vectors:
Cr  0.0000  0.6355  0.7500  2 Ni 2.42, 2 Pd 2.62, 2 Cr 2.67
Pd  0.0000  0.0000  0.0000  4 Pd 2.53-2.67, 2 Cr 2.62, 4 Ni 2.69
Pd  0.0000  0.0000  0.5000  4 Pd 2.53-2.67, 2 Cr 2.62, 4 Ni 2.69
Cr  0.0000  0.3645  0.2500  2 Ni 2.42, 2 Pd 2.62, 2 Cr 2.67
Ni  0.5000  0.6865  0.2500  2 Cr 2.42, 2 Ni 2.67, 4 Pd 2.69
Ni  0.5000  0.3135  0.7500  2 Cr 2.42, 2 Ni 2.67, 4 Pd 2.69

(7)
Compound: Pm2HI
Source: Alexandria
Functional: GGA-PBE
Structure: optimized geometry

Computed properties:
Total DFT energy (no corrections) in eV/atom: -4.21
Size of the total moment in μB per formula unit: 0.00

abc: 3.8293 3.8293 8.0570
angles: 76.25 76.25 60.00
Last column: nearest neighbours and their distance in Å.
Sites, in units of the cell vectors:
Pm  0.2744  0.2744  0.1769  3 H 2.60
Pm  0.7256  0.7256  0.8231  3 H 2.60
H  0.0000  0.0000  0.0000  6 Pm 2.60
I  0.5000  0.5000  0.5000  6 Pm 3.34

(8)
Compound: Li2Zn6Ir3
Source: Alexandria
Functional: GGA-PBE
Structure: optimized geometry

Computed properties:
Total DFT energy (no corrections) in eV/atom: -3.74
Size of the total moment in μB per formula unit: 0.00

abc: 4.2598 4.2598 9.4845
angles: 103.10 76.86 90.18
Last column: nearest neighbours and their distance in Å.
Sites, in units of the cell vectors:
Ir  0.0000  0.0000  0.0000  8 Zn 2.55
Li  0.3305  0.6709  0.3439  8 Zn 2.55-2.73
Zn  0.0768  0.4218  0.8442  4 Ir 2.55-2.61, 2 Li 2.71-2.73, 1 Zn 2.80
Zn  0.7523  0.7514  0.5000  4 Li 2.55, 4 Ir 2.66
Ir  0.8374  0.1624  0.3229  8 Zn 2.61-2.66, 1 Ir 2.90
Zn  0.2477  0.2486  0.5000  4 Li 2.55, 4 Ir 2.66
Ir  0.1626  0.8376  0.6771  8 Zn 2.61-2.66, 1 Ir 2.90
Zn  0.5783  0.9223  0.8442  4 Ir 2.55-2.61, 2 Li 2.71-2.72, 1 Zn 2.80
Li  0.6695  0.3291  0.6561  8 Zn 2.55-2.73
Zn  0.9232  0.5782  0.1558  4 Ir 2.55-2.61, 2 Li 2.71-2.73, 1 Zn 2.80
Zn  0.4217  0.0777  0.1558  4 Ir 2.55-2.61, 2 Li 2.71-2.72, 1 Zn 2.80

(9)
Compound: YNi2Br
Source: Alexandria
Functional: GGA-PBE
Structure: optimized geometry

Computed properties:
Formation energy (no corrections) in eV per atom: -0.095
Size of the total moment in μB per formula unit: 0.00
E above lowest polymorph in kJ per mole of atoms: 36.4

abc: 4.9013 4.9013 4.9013
angles: 132.69 114.76 84.44
Last column: nearest neighbours and their distance in Å.
Sites, in units of the cell vectors:
Ni  0.9702  0.9702  0.0000  2 Ni 2.30
Y  0.5232  0.5232  0.0000  4 Ni 2.84-3.08, 4 Br 2.94-3.06
Ni  0.8060  0.3060  0.5000  2 Ni 2.30
Br  0.2006  0.7006  0.5000  3 Ni 2.58-2.86

(10)
Compound: Te2Pt2Br
Source: Alexandria
Functional: GGA-PBE
Structure: optimized geometry

Computed properties:
Formation energy (no corrections) in eV per atom: -0.073
Size of the total moment in μB per formula unit: 0.00
E above lowest polymorph in kJ per mole of atoms: 14.5

abc: 3.5829 3.5829 11.0806
angles: 99.30 99.30 90.00
Last column: nearest neighbours and their distance in Å.
Sites, in units of the cell vectors:
Pt  0.1194  0.1194  0.2388  1 Br 2.58, 4 Te 2.70
Te  0.3372  0.3372  0.6744  4 Pt 2.70
Br  0.0000  0.0000  0.0000  2 Pt 2.58
Pt  0.8806  0.8806  0.7612  1 Br 2.58, 4 Te 2.70
Te  0.6628  0.6628  0.3256  4 Pt 2.70

(11)
Compound: NaBrN2F
Source: Alexandria
Functional: GGA-PBE
Structure: optimized geometry

Computed properties:
Formation energy (no corrections) in eV per atom: 1.360
Size of the total moment in μB per formula unit: 4.99
E above lowest polymorph in kJ per mole of atoms: 39.1

abc: 5.1059 5.1059 4.0840
angles: 90.00 90.00 90.00
Last column: nearest neighbours and their distance in Å.
Sites, in units of the cell vectors:
Na  0.0000  0.0000  0.0000  2 F 2.04
N  0.0000  0.5000  0.0000  2 Na 2.55
Br  0.5000  0.5000  0.5000  8 N 3.27, 4 F 3.61
N  0.5000  0.0000  0.0000  2 Na 2.55
F  0.0000  0.0000  0.5000  2 Na 2.04

(12)
Compound: RbDy2PuO8
Source: Alexandria
Functional: GGA-PBE
Structure: optimized geometry

Computed properties:
Formation energy (no corrections) in eV per atom: -2.519
Size of the total moment in μB per formula unit: 0.96

abc: 5.0979 5.1026 7.7687
angles: 89.86 89.85 90.27
Last column: nearest neighbours and their distance in Å.
Sites, in units of the cell vectors:
Dy  0.4993  0.4993  0.7844  6 O 2.22-2.34
O  0.3937  0.3954  0.5004  1 O 1.52
O  0.7038  0.7028  0.9989  1 Pu 2.13, 2 Dy 2.22
O  0.6063  0.6046  0.4996  1 O 1.52
O  0.1898  0.8148  0.8157  1 Pu 1.97
Dy  0.5007  0.5007  0.2156  6 O 2.22-2.34
Rb  0.0000  0.0000  0.5000  6 O 2.80-2.84
Pu  0.0000  0.0000  0.0000  6 O 1.97-2.13
O  0.2962  0.2972  0.0011  1 Pu 2.13, 2 Dy 2.22
O  0.8102  0.1852  0.1843  1 Pu 1.97
O  0.1862  0.8114  0.1842  1 Pu 1.97
O  0.8138  0.1886  0.8158  1 Pu 1.97

Which of these has the highest size of the total moment?
NaBrN2F